Record 1
Entry from OQMD: an optimized crystal structure of In2GaCo (PBE).

Cell: 6.692 6.692 6.692 Å, 90.00 90.00 90.00°
Sites, in units of the cell vectors:
In 0.000 0.000 0.000
In 0.000 0.500 0.500
In 0.250 0.250 0.250
In 0.250 0.750 0.750
In 0.500 0.000 0.500
In 0.500 0.500 0.000
In 0.750 0.250 0.750
In 0.750 0.750 0.250
Ga 0.000 0.000 0.500
Ga 0.000 0.500 0.000
Ga 0.500 0.000 0.000
Ga 0.500 0.500 0.500
Co 0.250 0.250 0.750
Co 0.250 0.750 0.250
Co 0.750 0.250 0.250
Co 0.750 0.750 0.750

Results
Total magnetic moment in Bohr magnetons per cell: 1.08



Record 2
Entry from OQMD: an optimized crystal structure of InGa2Co (PBE).

Cell: 6.461 6.461 6.461 Å, 90.00 90.00 90.00°
Sites, in units of the cell vectors:
In 0.000 0.000 0.000
In 0.000 0.500 0.500
In 0.500 0.000 0.500
In 0.500 0.500 0.000
Ga 0.000 0.000 0.500
Ga 0.000 0.500 0.000
Ga 0.250 0.250 0.750
Ga 0.250 0.750 0.250
Ga 0.500 0.000 0.000
Ga 0.500 0.500 0.500
Ga 0.750 0.250 0.250
Ga 0.750 0.750 0.750
Co 0.250 0.250 0.250
Co 0.250 0.750 0.750
Co 0.750 0.250 0.750
Co 0.750 0.750 0.250

Results
Total magnetic moment in Bohr magnetons per cell: 0.22



Record 3
Entry from OQMD: an optimized crystal structure of InGaCo (PBE).

Cell: 5.965 5.965 5.965 Å, 90.00 90.00 90.00°
Sites, in units of the cell vectors:
In 0.000 0.000 0.000
In 0.000 0.500 0.500
In 0.500 0.000 0.500
In 0.500 0.500 0.000
Ga 0.000 0.000 0.500
Ga 0.000 0.500 0.000
Ga 0.500 0.000 0.000
Ga 0.500 0.500 0.500
Co 0.250 0.250 0.750
Co 0.250 0.750 0.250
Co 0.750 0.250 0.250
Co 0.750 0.750 0.750

Results
Total magnetic moment in Bohr magnetons per cell: 0.09



Number 1: total DFT energy (no corrections) -3.479 eV/atom. Number 2: total DFT energy (no corrections) -3.678 eV/atom. Number 3: total DFT energy (no corrections) -4.272 eV/atom.